First-principles (PBE) data for a relaxed structure of Mn2CdSb2, as listed in the Alexandria database.

Cell and atoms, written as POSCAR:
```
Mn2CdSb2
1.0
-4.330 0.115 -1.221
-1.224 -0.175 4.327
-2.697 5.764 1.811
Sb Mn Cd
2 2 1
Direct
0.372 0.372 0.255
0.628 0.628 0.745
0.750 0.250 0.500
0.250 0.750 0.500
0.000 0.000 0.000
```

Calculated values
* space group: I4/mmm
* DFT total energy: -26.2 eV/cell
* energy relative to the lowest polymorph listed for this composition: 0.0 meV per atom
* total magnetic moment: 6.87 μB per formula unit
* ΔE_f (raw): 269 meV/atom